The following is a DFT calculation (PBE) of a geometry-optimized Rb2MgNbF6 structure.

a = 6.0545 Å, b = 6.0545 Å, c = 6.0544 Å
α = 60.00°, β = 60.00°, γ = 90.00°
Closest atoms and distances in Å follow each position.
Positions (direct):
F  0.2631  0.2631  0.0000  1 Mg 2.03, 1 Nb 2.25
F  0.2631  0.7369  0.0000  1 Mg 2.03, 1 Nb 2.25
F  0.2631  0.2631  0.4738  1 Mg 2.03, 1 Nb 2.25
F  0.7369  0.7369  0.0000  1 Mg 2.03, 1 Nb 2.25
F  0.7369  0.2631  0.0000  1 Mg 2.03, 1 Nb 2.25
F  0.7369  0.7369  0.5262  1 Mg 2.03, 1 Nb 2.25
Nb  0.0000  0.0000  0.0000  6 F 2.25
Rb  0.2500  0.7500  0.5000  12 F 3.03
Rb  0.7500  0.2500  0.5000  12 F 3.03
Mg  0.5000  0.5000  0.0000  6 F 2.03

Values from the calculation:
crystal system	cubic
magnetization	3.00	μB per cell
ΔE_f (raw)	-2.760	eV/atom

=====

The following is a DFT calculation (PBE) of a geometry-optimized LiBeFe2 structure.

a = 2.4961 Å, b = 2.4961 Å, c = 6.9118 Å
α = 90.00°, β = 90.00°, γ = 90.00°
Closest atoms and distances in Å follow each position.
Positions (direct):
Fe  0.5000  0.5000  0.2267  8 Fe 2.45-2.50, 4 Li 2.66
Fe  0.0000  0.0000  0.9817  4 Be 2.26, 8 Fe 2.45-2.50
Li  0.0000  0.0000  0.5140  4 Li 2.50, 4 Be 2.54, 4 Fe 2.66
Be  0.5000  0.5000  0.7776  4 Fe 2.26, 4 Be 2.50

Values from the calculation:
uncorrected energy	-5.518	eV per atom
crystal system	tetragonal
magnetization	0.28	μB per cell

=====

The following is a DFT calculation (PBE) of a geometry-optimized SbAsPb structure.

a = 6.1652 Å, b = 6.1652 Å, c = 6.1652 Å
α = 144.11°, β = 144.11°, γ = 51.66°
Closest atoms and distances in Å follow each position.
Positions (direct):
As  0.0247  0.0247  0.0000  4 Sb 2.95
Pb  0.3413  0.3413  0.0000  5 Sb 3.25-3.54, 5 As 3.37-3.51
Sb  0.6340  0.6340  0.0000  4 As 2.95, 1 Pb 3.25

Values from the calculation:
crystal system	tetragonal
magnetization	0.00	μB per cell
energy above the most stable polymorph in this dataset	0.065	eV per atom
ΔE_f (raw)	0.110	eV/atom

=====

The following is a DFT calculation (PBE) of a geometry-optimized Ba2TaWN5 structure.

a = 3.3936 Å, b = 8.1083 Å, c = 11.5550 Å
α = 90.00°, β = 90.00°, γ = 102.08°
Closest atoms and distances in Å follow each position.
Positions (direct):
N  0.0376  0.0752  0.0202  2 W 1.95
N  0.7069  0.4139  0.1329  2 Ta 2.07
N  0.4969  0.9938  0.3065  1 W 1.80
N  0.3291  0.6582  0.0015  1 Ta 1.85
N  0.6709  0.3418  0.5015  1 Ta 1.85
N  0.6734  0.3468  0.8969  1 W 1.89
N  0.3266  0.6532  0.3969  1 W 1.89
N  0.9624  0.9248  0.5202  2 W 1.95
N  0.5031  0.0062  0.8065  1 W 1.80
N  0.2931  0.5861  0.6329  2 Ta 2.07
Ta  0.7857  0.5713  0.5315  3 N 1.85-2.07
Ta  0.2143  0.4287  0.0315  3 N 1.85-2.07
W  0.4413  0.8826  0.4422  4 N 1.80-1.95
W  0.5587  0.1174  0.9422  4 N 1.80-1.95
Ba  0.8645  0.7290  0.8187  6 N 2.77-2.96
Ba  0.8837  0.7674  0.1737  6 N 2.75-3.02
Ba  0.1163  0.2326  0.6737  6 N 2.75-3.02
Ba  0.1355  0.2710  0.3187  6 N 2.77-2.96

Values from the calculation:
crystal system	orthorhombic
magnetization	0.00	μB per cell
ΔE_f (raw)	-0.828	eV/atom

=====

The following is a DFT calculation (PBE) of a geometry-optimized AlP2Au structure.

a = 2.7253 Å, b = 3.3830 Å, c = 7.0747 Å
α = 90.00°, β = 90.00°, γ = 90.00°
Closest atoms and distances in Å follow each position.
Positions (direct):
P  0.0000  0.0000  0.0331  4 Al 2.66, 2 P 2.73, 4 Au 2.95
P  0.0000  0.0000  0.4669  4 Al 2.66, 2 P 2.73, 4 Au 2.95
Au  0.5000  0.5000  0.7500  2 Au 2.73, 8 P 2.95
Al  0.5000  0.5000  0.2500  8 P 2.66, 2 Al 2.73

Values from the calculation:
uncorrected energy	-4.157	eV per atom
crystal system	orthorhombic
magnetization	0.00	μB per cell

=====

The following is a DFT calculation (PBE) of a geometry-optimized Li4Ho3SbSe8 structure.

a = 8.1293 Å, b = 8.0169 Å, c = 8.1293 Å
α = 120.46°, β = 120.00°, γ = 90.00°
Closest atoms and distances in Å follow each position.
Positions (direct):
Sb  0.0000  0.5000  0.0000  6 Se 2.87
Li  0.0000  0.0000  0.5000  6 Se 2.84-2.85
Li  0.5000  0.0000  0.0000  6 Se 2.83
Li  0.5000  0.0000  0.5000  6 Se 2.84-2.85
Li  0.0000  0.0000  0.0000  6 Se 2.84-2.85
Se  0.2517  0.7535  0.5035  3 Li 2.83-2.84, 2 Ho 2.86, 1 Sb 2.87
Se  0.2501  0.2465  0.9983  3 Li 2.83-2.85, 2 Ho 2.86, 1 Sb 2.87
Se  0.7504  0.7512  0.5008  3 Li 2.85, 3 Ho 2.86
Se  0.2517  0.7535  0.0017  3 Li 2.83-2.85, 2 Ho 2.86, 1 Sb 2.87
Se  0.2496  0.2488  0.4992  3 Li 2.85, 3 Ho 2.86
Se  0.7483  0.2465  0.9983  3 Li 2.83-2.85, 2 Ho 2.86, 1 Sb 2.87
Se  0.7499  0.7535  0.0017  3 Li 2.83-2.85, 2 Ho 2.86, 1 Sb 2.87
Se  0.7483  0.2465  0.4965  3 Li 2.83-2.84, 2 Ho 2.86, 1 Sb 2.87
Ho  0.5000  0.5000  0.0000  6 Se 2.86
Ho  0.0000  0.5000  0.5000  6 Se 2.86
Ho  0.5000  0.5000  0.5000  6 Se 2.86

Values from the calculation:
crystal system	trigonal
magnetization	0.00	μB per cell
ΔE_f (raw)	-1.429	eV/atom

=====

- Number 2 is which compound?
  LiBeFe2

=====

- Which value of magnetization does entry 1 give?
  3.00 μB per cell

=====

- What is the magnetization in the fifth record?
  0.00 μB per cell